No. 1
{
  "formula": "SbMoS3",
  "functional": "PBE",
  "state": "optimized geometry",
  "cell": [[4.715, 0.000, 0.000], [0.000, 4.715, 0.000], [0.000, 0.000, 4.715]],
  "species": ["Sb", "Mo", "S", "S", "S"],
  "fractional_positions": [[0.500, 0.500, 0.500], [0.000, 0.000, 0.000], [0.500, 0.000, 0.000], [0.000, 0.500, 0.000], [0.000, 0.000, 0.500]],
  "total_energy_ev_per_atom": -5.33,
  "sg": "No. 221",
  "raw_formation_energy_ev_per_atom": 0.14,
  "de_polymorph_mev_per_atom": 0
}

=====

No. 2
{
  "formula": "SmTmPd",
  "functional": "PBE",
  "state": "optimized geometry",
  "cell": [[3.783, 0.064, 0.094], [1.781, 6.979, -0.292], [1.709, 1.677, 5.918]],
  "species": ["Sm", "Sm", "Tm", "Tm", "Pd", "Pd"],
  "fractional_positions": [[0.842, 0.068, 0.248], [0.158, 0.932, 0.752], [0.409, 0.383, 0.799], [0.591, 0.617, 0.201], [0.867, 0.677, 0.589], [0.133, 0.323, 0.411]],
  "total_energy_ev_per_atom": -5.38,
  "sg": "No. 2",
  "de_polymorph_mev_per_atom": 8
}

=====

No. 3
{
  "formula": "AcDy2Hg",
  "functional": "PBE",
  "state": "optimized geometry",
  "cell": [[-0.625, -3.203, 1.894], [2.910, -2.102, 1.164], [0.981, 3.664, 10.281]],
  "species": ["Dy", "Dy", "Ac", "Hg"],
  "fractional_positions": [[0.263, 0.263, 0.212], [0.071, 0.071, 0.788], [0.500, 0.500, 0.499], [0.666, 0.666, 0.001]],
  "total_energy_ev_per_atom": -3.52,
  "sg": "No. 160",
  "de_polymorph_mev_per_atom": 88
}

=====

No. 4
{
  "formula": "LaNp2UP4",
  "functional": "PBE",
  "state": "optimized geometry",
  "cell": [[5.711, 0.003, 0.000], [-0.003, 5.711, 0.000], [-2.854, -2.857, 5.703]],
  "species": ["P", "P", "P", "P", "La", "Np", "Np", "U"],
  "fractional_positions": [[0.998, 0.498, 0.996], [0.502, 0.002, 0.004], [0.759, 0.759, 0.517], [0.241, 0.241, 0.483], [0.500, 0.500, 0.000], [0.250, 0.750, 0.500], [0.000, 0.000, 0.000], [0.750, 0.250, 0.500]],
  "total_energy_ev_per_atom": -8.98,
  "sg": "No. 119"
}

=====

No. 5
{
  "formula": "La2HoPu",
  "functional": "PBE",
  "state": "optimized geometry",
  "cell": [[-4.776, 1.293, -0.068], [-1.225, -4.620, -1.838], [-0.543, -1.757, 4.779]],
  "species": ["Ho", "La", "La", "Pu"],
  "fractional_positions": [[0.500, 0.000, 0.000], [0.000, 0.500, 0.000], [0.000, 0.000, 0.500], [0.500, 0.500, 0.500]],
  "total_energy_ev_per_atom": -7.05,
  "sg": "No. 123",
  "de_polymorph_mev_per_atom": 31
}

=====

No. 6
{
  "formula": "AlTcAs2Br",
  "functional": "PBE",
  "state": "optimized geometry",
  "cell": [[4.742, 0.000, 0.000], [0.000, 4.742, 0.000], [0.000, 0.000, 5.593]],
  "species": ["Al", "As", "As", "Tc", "Br"],
  "fractional_positions": [[0.500, 0.500, 0.500], [0.000, 0.500, 0.000], [0.500, 0.000, 0.000], [0.000, 0.000, 0.000], [0.000, 0.000, 0.500]],
  "total_energy_ev_per_atom": -4.63,
  "sg": "No. 123",
  "raw_formation_energy_ev_per_atom": 0.39,
  "de_polymorph_mev_per_atom": 0
}